{"formula": "TlVO2F", "functional": "PBE+U", "state": "relaxed", "cell": [[3.901, 0.000, 0.000], [0.000, 3.901, 0.000], [0.000, 0.000, 4.319]], "species": ["O", "O", "Tl", "V", "F"], "frac_coords": [[0.500, 0.000, 0.000], [0.000, 0.500, 0.000], [0.500, 0.500, 0.500], [0.000, 0.000, 0.000], [0.000, 0.000, 0.500]], "sg": "P4/mmm (123)", "mass_density_g_cm3": 7.74, "m_tot_mub_per_fu": 1.00, "volume_a3_per_atom": 13.14, "dft_energy_ev_per_atom": -5.996}